1.
MnRePd: optimized geometry, PBE.

N(E_F) = 4.6 states/eV per cell
Symmetry = R3m
Energy relative to the elements = 48 meV/atom
Electronic total energy = -8.8893 eV/atom

a = 2.8045 Å, b = 2.8044 Å, c = 13.1940 Å
α = 90.00°, β = 83.90°, γ = 60.00°
Fractional coordinates of all 6 atoms:
Mn: 0.6332 0.3535 0.9682
Pd: 0.1945 0.5729 0.6254
Pd: 0.4076 0.9667 0.8065
Re: 0.1884 0.0761 0.1355
Re: 0.7461 0.7972 0.2988
Mn: 0.9680 0.1860 0.4653

---

2.
MnRe2Pd2: optimized geometry, PBE.

N(E_F) = 20.6 states/eV per cell
Symmetry = P4/mbm
Energy relative to the elements = 773 meV/atom
Electronic total energy = -8.1170 eV/atom

a = 7.5725 Å, b = 7.5725 Å, c = 2.6852 Å
α = 90.00°, β = 90.00°, γ = 90.00°
Fractional coordinates of all 10 atoms:
Re: 0.1769 0.6769 0.5000
Pd: 0.8781 0.6219 0.0000
Re: 0.3231 0.1769 0.5000
Mn: 0.0000 0.0000 0.0000
Pd: 0.3781 0.8781 0.0000
Mn: 0.5000 0.5000 0.0000
Pd: 0.6219 0.1219 0.0000
Re: 0.8231 0.3231 0.5000
Re: 0.6769 0.8231 0.5000
Pd: 0.1219 0.3781 0.0000

---

The highest energy relative to the elements belongs to which entry? MnRe2Pd2